Below is crystalline AgRu2Au at its relaxed geometry, with properties calculated at the PBE level.

Cell lengths 7.3725, 7.3725, 5.1589 Å; angles 90.00, 90.00, 90.00 degrees
Space group I-42d (No. 122)
One atom of each set of equivalent atoms:
Ag: 0.0000 0.0000 0.0000 (multiplicity 4)
Ru: 0.2454 0.2500 0.6250 (multiplicity 8)
Au: 0.0000 0.0000 0.5000 (multiplicity 4)

crystal system: tetragonal
E_tot: -5.0979 eV/atom
total moment: 0.03 μB/cell
density of states at the Fermi level: 1.64 states/eV per atom
ΔE to the lowest computed polymorph: 859 meV per atom
DFT formation energy: 1.0721 eV/atom